Here is an optimized crystal structure of CoPbO2 from Alexandria via LeMat-Bulk. Energies are from PBE+U.

```
CoPbO2
1.0
5.1683 0.0000 0.0000
0.0000 5.1683 0.0000
0.0000 0.0000 9.9279
Co Pb O
4 4 8
Cartesian
0.0000 0.0000 0.0000 Co
0.0000 2.5841 2.4820 Co
2.5841 0.0000 7.4459 Co
2.5841 2.5841 4.9639 Co
0.0000 0.0000 4.9639 Pb
0.0000 2.5841 7.4459 Pb
2.5841 0.0000 2.4820 Pb
2.5841 2.5841 0.0000 Pb
0.9156 1.2921 1.2410 O
1.2921 3.4997 3.7229 O
1.2921 4.2526 8.6869 O
1.6685 1.2921 6.2049 O
3.4997 3.8762 6.2049 O
3.8762 0.9156 8.6869 O
3.8762 1.6685 3.7229 O
4.2526 3.8762 1.2410 O
```

**E**: -89.5 eV/cell
**ρ**: 7.5 g/cm3